No. 1
Below is a crystal of CrCdSnIr2 relaxed with PBEsol, with properties calculated at the meta-GGA SCAN level.

Cell lengths 4.864, 4.864, 4.952 Å; angles 90.00, 90.00, 90.00 degrees
Site moments in Bohr magnetons follow the coordinates.
Positions (direct):
Cr 0.500 0.500 0.500  4.09
Ir 0.500 0.000 0.000  -0.42
Ir 0.000 0.500 0.000  -0.42
Sn 0.000 0.000 0.500  -0.03
Cd 0.000 0.000 0.000  -0.01

Values from the calculation:
Formation energy ... 9.61 eV per formula unit
Fermi-level density of states ... 3.52 states/eV/cell
Energy ... -43.462 eV/atom

No. 2
Below is a crystal of ScGeSb2Te relaxed with PBEsol, with properties calculated at the meta-GGA SCAN level.

Cell lengths 5.377, 5.377, 5.367 Å; angles 90.00, 90.00, 90.00 degrees
Positions (direct):
Sb 0.500 0.000 0.000
Sb 0.000 0.500 0.000
Te 0.000 0.000 0.500
Sc 0.000 0.000 0.000
Ge 0.500 0.500 0.500

Values from the calculation:
Fermi-level density of states ... 3.96 states/eV/cell
Formation energy without anion corrections ... 0.388 eV per atom
Energy ... -28.631 eV/atom
Relative energy among the computed polymorphs ... 0 meV/atom

No. 3
Below is a crystal of Al2TlCr relaxed with PBEsol, with properties calculated at the meta-GGA SCAN level.

Cell lengths 3.128, 4.900, 4.900 Å; angles 110.78, 90.00, 90.00 degrees
Site moments in Bohr magnetons follow the coordinates.
Positions (direct):
Al 0.000 0.000 0.500  -0.05
Al 0.000 0.500 0.000  -0.05
Tl 0.500 0.500 0.500  -0.02
Cr 0.500 0.000 0.000  3.46

Values from the calculation:
Formation energy ... 0.76 eV per formula unit
Fermi-level density of states ... 1.52 states/eV/cell
Energy ... -26.371 eV/atom
Relative energy among the computed polymorphs ... 0 meV/atom